No. 1
The following is a GGA-PBE calculation of crystalline BaIn3F at its relaxed geometry, from the Alexandria database.

a b c (Å): 6.679 6.679 6.679
angles (deg): 90.00 90.00 90.00
Element x y z (fractional)
F1 0.500 0.500 0.500
Ba1 0.000 0.000 0.000
In1 0.000 0.500 0.000
In2 0.000 0.000 0.500
In3 0.500 0.000 0.000

For the calculated total energy, the calculation gives -1.957 eV/atom. For the energy above the most stable polymorph in this dataset, the calculation gives 1177.1 meV per atom. The uncorrected formation energy comes out at 0.44 eV/atom. Its magnetization is 0.00 μB/f.u.


No. 2
The following is a GGA-PBE calculation of crystalline Ho4Sb2O at its relaxed geometry, from the Alexandria database.

a b c (Å): 4.475 4.475 9.000
angles (deg): 104.40 104.40 90.00
Element x y z (fractional)
Sb1 0.637 0.637 0.275
Sb2 0.363 0.363 0.725
Ho1 0.821 0.821 0.642
Ho2 0.179 0.179 0.358
Ho3 0.000 0.500 0.000
Ho4 0.500 0.000 0.000
O1 0.000 0.000 0.000

For the calculated total energy, the calculation gives -5.920 eV/atom. The uncorrected formation energy comes out at -1.42 eV/atom. Its magnetization is 0.00 μB/f.u.


No. 3
The following is a GGA-PBE calculation of crystalline PdIBr2 at its relaxed geometry, from the Alexandria database.

a b c (Å): 6.686 6.686 7.463
angles (deg): 108.16 108.16 114.50
Element x y z (fractional)
Pd1 0.117 0.447 0.418
Pd2 0.447 0.117 0.918
I1 0.576 0.875 0.646
I2 0.875 0.576 0.146
Br1 0.282 0.231 0.625
Br2 0.672 0.048 0.224
Br3 0.231 0.282 0.125
Br4 0.048 0.672 0.724

For the calculated total energy, the calculation gives -2.693 eV/atom. For the energy above the most stable polymorph in this dataset, the calculation gives 0.0 meV per atom. The uncorrected formation energy comes out at -0.17 eV/atom. Its magnetization is 0.00 μB/f.u.